Record 1
Nb2VPt2 after structural relaxation. Source: the Alexandria database, functional GGA-PBE.

Results
Formation energy: -0.27 eV per atom
Calculated total energy: -8.534 eV per atom

CIF file:
```
data_Nb2VPt2
_symmetry_space_group_name_H-M 'P 1'
_symmetry_Int_Tables_number 1
_symmetry_space_group_name_Hall 'P 1'
_cell_length_a 6.643
_cell_length_b 6.643
_cell_length_c 3.910
_cell_angle_alpha 90.00
_cell_angle_beta 90.00
_cell_angle_gamma 90.00
loop_
_atom_site_label
_atom_site_type_symbol
_atom_site_fract_x
_atom_site_fract_y
_atom_site_fract_z
Pt1 Pt 0.637 0.137 0.000
Nb1 Nb 0.327 0.173 0.500
Nb2 Nb 0.173 0.673 0.500
V1 V 0.000 0.000 0.000
Pt2 Pt 0.137 0.363 0.000
Nb3 Nb 0.827 0.327 0.500
Pt3 Pt 0.363 0.863 0.000
Nb4 Nb 0.673 0.827 0.500
Pt4 Pt 0.863 0.637 0.000
V2 V 0.500 0.500 0.000
```

***

Record 2
NbVPt after structural relaxation. Source: the Alexandria database, functional GGA-PBE.

Results
Energy above the lowest structure with this stoichiometry: 9.7 meV per atom
Formation energy: -0.16 eV per atom
Calculated total energy: -8.567 eV per atom

CIF file:
```
data_NbVPt
_symmetry_space_group_name_H-M 'P 1'
_symmetry_Int_Tables_number 1
_symmetry_space_group_name_Hall 'P 1'
_cell_length_a 5.547
_cell_length_b 5.237
_cell_length_c 7.518
_cell_angle_alpha 90.00
_cell_angle_beta 113.22
_cell_angle_gamma 90.00
loop_
_atom_site_label
_atom_site_type_symbol
_atom_site_fract_x
_atom_site_fract_y
_atom_site_fract_z
V1 V 0.644 0.410 0.218
Pt1 Pt 0.321 0.846 0.502
Nb1 Nb 0.336 0.865 0.119
V2 V 0.144 0.090 0.718
Nb2 Nb 0.164 0.365 0.381
Pt2 Pt 0.179 0.346 0.998
Nb3 Nb 0.836 0.635 0.619
V3 V 0.856 0.910 0.282
Nb4 Nb 0.664 0.135 0.881
Pt3 Pt 0.679 0.154 0.498
V4 V 0.356 0.590 0.782
Pt4 Pt 0.821 0.654 0.002
```

***

Record 3
NbVPt after structural relaxation. Source: the Alexandria database, functional GGA-PBE.

Results
Energy above the lowest structure with this stoichiometry: 0.0 meV per atom
Formation energy: -0.17 eV per atom
Calculated total energy: -8.577 eV per atom

CIF file:
```
data_NbVPt
_symmetry_space_group_name_H-M 'P 1'
_symmetry_Int_Tables_number 1
_symmetry_space_group_name_Hall 'P 1'
_cell_length_a 2.726
_cell_length_b 4.483
_cell_length_c 4.483
_cell_angle_alpha 120.00
_cell_angle_beta 90.00
_cell_angle_gamma 90.00
loop_
_atom_site_label
_atom_site_type_symbol
_atom_site_fract_x
_atom_site_fract_y
_atom_site_fract_z
Pt1 Pt 0.345 0.667 0.333
Nb1 Nb 0.961 0.000 0.000
V1 V 0.694 0.333 0.667
```

***

Record 4
Nb2VPt after structural relaxation. Source: the Alexandria database, functional GGA-PBE.

Results
Energy above the lowest structure with this stoichiometry: 82.6 meV per atom
Formation energy: -0.20 eV per atom
Calculated total energy: -9.029 eV per atom

CIF file:
```
data_Nb2VPt
_symmetry_space_group_name_H-M 'P 1'
_symmetry_Int_Tables_number 1
_symmetry_space_group_name_Hall 'P 1'
_cell_length_a 4.533
_cell_length_b 4.533
_cell_length_c 4.533
_cell_angle_alpha 60.00
_cell_angle_beta 60.00
_cell_angle_gamma 60.00
loop_
_atom_site_label
_atom_site_type_symbol
_atom_site_fract_x
_atom_site_fract_y
_atom_site_fract_z
Nb1 Nb 0.250 0.250 0.250
V1 V 0.000 0.000 0.000
Nb2 Nb 0.750 0.750 0.750
Pt1 Pt 0.500 0.500 0.500
```

***

Record 5
Nb2VPt after structural relaxation. Source: the Alexandria database, functional GGA-PBE.

Results
Energy above the lowest structure with this stoichiometry: 582.0 meV per atom
Formation energy: 0.30 eV per atom
Calculated total energy: -8.529 eV per atom

CIF file:
```
data_Nb2VPt
_symmetry_space_group_name_H-M 'P 1'
_symmetry_Int_Tables_number 1
_symmetry_space_group_name_Hall 'P 1'
_cell_length_a 3.812
_cell_length_b 3.812
_cell_length_c 10.151
_cell_angle_alpha 79.18
_cell_angle_beta 79.18
_cell_angle_gamma 90.00
loop_
_atom_site_label
_atom_site_type_symbol
_atom_site_fract_x
_atom_site_fract_y
_atom_site_fract_z
Nb1 Nb 0.130 0.625 0.250
Nb2 Nb 0.620 0.125 0.250
Nb3 Nb 0.875 0.870 0.750
Pt1 Pt 0.000 0.000 0.000
V1 V 0.250 0.750 0.500
Pt2 Pt 0.750 0.250 0.500
V2 V 0.500 0.500 0.000
Nb4 Nb 0.375 0.380 0.750
```

***

Record 6
NbVPt4 after structural relaxation. Source: the Alexandria database, functional GGA-PBE.

Results
Energy above the lowest structure with this stoichiometry: 0.0 meV per atom
Formation energy: -0.55 eV per atom
Calculated total energy: -7.779 eV per atom

CIF file:
```
data_NbVPt4
_symmetry_space_group_name_H-M 'P 1'
_symmetry_Int_Tables_number 1
_symmetry_space_group_name_Hall 'P 1'
_cell_length_a 2.795
_cell_length_b 2.795
_cell_length_c 11.915
_cell_angle_alpha 89.99
_cell_angle_beta 90.00
_cell_angle_gamma 90.00
loop_
_atom_site_label
_atom_site_type_symbol
_atom_site_fract_x
_atom_site_fract_y
_atom_site_fract_z
Nb1 Nb 0.500 0.500 0.500
Pt1 Pt 0.500 0.500 0.151
Pt2 Pt 0.000 0.000 0.333
Pt3 Pt 0.000 0.000 0.667
Pt4 Pt 0.500 0.500 0.849
V1 V 0.000 0.000 0.000
```

***

Record 7
NbV2Pt3 after structural relaxation. Source: the Alexandria database, functional GGA-PBE.

Results
Formation energy: -0.58 eV per atom
Calculated total energy: -8.319 eV per atom

CIF file:
```
data_NbV2Pt3
_symmetry_space_group_name_H-M 'P 1'
_symmetry_Int_Tables_number 1
_symmetry_space_group_name_Hall 'P 1'
_cell_length_a 2.748
_cell_length_b 2.748
_cell_length_c 11.958
_cell_angle_alpha 90.00
_cell_angle_beta 90.00
_cell_angle_gamma 90.00
loop_
_atom_site_label
_atom_site_type_symbol
_atom_site_fract_x
_atom_site_fract_y
_atom_site_fract_z
Nb1 Nb 0.500 0.500 0.500
V1 V 0.500 0.500 0.162
Pt1 Pt 0.000 0.000 0.000
V2 V 0.500 0.500 0.838
Pt2 Pt 0.000 0.000 0.680
Pt3 Pt 0.000 0.000 0.320
```

***

Record 8
NbVPt6 after structural relaxation. Source: the Alexandria database, functional GGA-PBE.

Results
Formation energy: -0.51 eV per atom
Calculated total energy: -7.441 eV per atom

CIF file:
```
data_NbVPt6
_symmetry_space_group_name_H-M 'P 1'
_symmetry_Int_Tables_number 1
_symmetry_space_group_name_Hall 'P 1'
_cell_length_a 3.974
_cell_length_b 3.974
_cell_length_c 7.910
_cell_angle_alpha 90.00
_cell_angle_beta 90.00
_cell_angle_gamma 90.00
loop_
_atom_site_label
_atom_site_type_symbol
_atom_site_fract_x
_atom_site_fract_y
_atom_site_fract_z
V1 V 0.000 0.000 0.500
Pt1 Pt 0.500 0.000 0.750
Pt2 Pt 0.500 0.000 0.250
Pt3 Pt 0.500 0.500 0.000
Pt4 Pt 0.000 0.500 0.750
Pt5 Pt 0.000 0.500 0.250
Pt6 Pt 0.500 0.500 0.500
Nb1 Nb 0.000 0.000 0.000
```

***

Record 9
NbV2Pt8 after structural relaxation. Source: the Alexandria database, functional GGA-PBE.

Results
Formation energy: -0.54 eV per atom
Calculated total energy: -7.508 eV per atom

CIF file:
```
data_NbV2Pt8
_symmetry_space_group_name_H-M 'P 1'
_symmetry_Int_Tables_number 1
_symmetry_space_group_name_Hall 'P 1'
_cell_length_a 3.943
_cell_length_b 6.328
_cell_length_c 7.372
_cell_angle_alpha 106.73
_cell_angle_beta 105.51
_cell_angle_gamma 90.00
loop_
_atom_site_label
_atom_site_type_symbol
_atom_site_fract_x
_atom_site_fract_y
_atom_site_fract_z
Pt1 Pt 0.044 0.729 0.089
V1 V 0.781 0.353 0.562
Pt2 Pt 0.606 0.454 0.212
Nb1 Nb 0.500 0.000 0.000
V2 V 0.219 0.647 0.438
Pt3 Pt 0.318 0.086 0.636
Pt4 Pt 0.858 0.804 0.716
Pt5 Pt 0.142 0.196 0.284
Pt6 Pt 0.956 0.271 0.911
Pt7 Pt 0.394 0.546 0.788
Pt8 Pt 0.682 0.914 0.364
```

***

Record 10
Nb2VPt6 after structural relaxation. Source: the Alexandria database, functional GGA-PBE.

Results
Formation energy: -0.40 eV per atom
Calculated total energy: -7.674 eV per atom

CIF file:
```
data_Nb2VPt6
_symmetry_space_group_name_H-M 'P 1'
_symmetry_Int_Tables_number 1
_symmetry_space_group_name_Hall 'P 1'
_cell_length_a 6.054
_cell_length_b 5.365
_cell_length_c 5.365
_cell_angle_alpha 60.00
_cell_angle_beta 90.02
_cell_angle_gamma 90.02
loop_
_atom_site_label
_atom_site_type_symbol
_atom_site_fract_x
_atom_site_fract_y
_atom_site_fract_z
Pt1 Pt 0.691 0.170 0.170
V1 V 0.000 0.000 0.000
Pt2 Pt 0.309 0.830 0.830
Pt3 Pt 0.691 0.660 0.170
Pt4 Pt 0.691 0.170 0.660
Nb1 Nb 0.104 0.333 0.333
Nb2 Nb 0.896 0.667 0.667
Pt5 Pt 0.309 0.830 0.340
Pt6 Pt 0.309 0.340 0.830
```

***

Record 11
NbVPt4 after structural relaxation. Source: the Alexandria database, functional GGA-PBE.

Results
Energy above the lowest structure with this stoichiometry: 292.2 meV per atom
Formation energy: -0.26 eV per atom
Calculated total energy: -7.487 eV per atom

CIF file:
```
data_NbVPt4
_symmetry_space_group_name_H-M 'P 1'
_symmetry_Int_Tables_number 1
_symmetry_space_group_name_Hall 'P 1'
_cell_length_a 5.576
_cell_length_b 6.253
_cell_length_c 6.291
_cell_angle_alpha 90.00
_cell_angle_beta 90.00
_cell_angle_gamma 87.70
loop_
_atom_site_label
_atom_site_type_symbol
_atom_site_fract_x
_atom_site_fract_y
_atom_site_fract_z
Pt1 Pt 0.257 0.500 0.994
Nb1 Nb 0.000 0.250 0.750
Pt2 Pt 0.743 0.000 0.994
Pt3 Pt 0.257 0.500 0.506
Pt4 Pt 0.743 0.500 0.494
V1 V 0.500 0.750 0.750
Pt5 Pt 0.257 0.000 0.494
Pt6 Pt 0.743 0.500 0.006
V2 V 0.500 0.250 0.250
Pt7 Pt 0.743 0.000 0.506
Nb2 Nb 0.000 0.750 0.250
Pt8 Pt 0.257 0.000 0.006
```

***

Record 12
NbV4Pt after structural relaxation. Source: the Alexandria database, functional GGA-PBE.

Results
Formation energy: -0.14 eV per atom
Calculated total energy: -8.909 eV per atom

CIF file:
```
data_NbV4Pt
_symmetry_space_group_name_H-M 'P 1'
_symmetry_Int_Tables_number 1
_symmetry_space_group_name_Hall 'P 1'
_cell_length_a 4.979
_cell_length_b 4.979
_cell_length_c 4.979
_cell_angle_alpha 60.00
_cell_angle_beta 60.00
_cell_angle_gamma 60.00
loop_
_atom_site_label
_atom_site_type_symbol
_atom_site_fract_x
_atom_site_fract_y
_atom_site_fract_z
Nb1 Nb 0.000 0.000 0.000
V1 V 0.626 0.121 0.626
V2 V 0.121 0.626 0.626
V3 V 0.626 0.626 0.121
Pt1 Pt 0.250 0.250 0.250
V4 V 0.626 0.626 0.626
```

***

- Which of these has the lowest calculated total energy?
  number 4

***

- Which of these has the lowest formation energy?
  NbV2Pt3

***

Repeat the twelfth record exactly.
NbV4Pt after structural relaxation. Source: the Alexandria database, functional GGA-PBE.

Results
Formation energy: -0.14 eV per atom
Calculated total energy: -8.909 eV per atom

CIF file:
```
data_NbV4Pt
_symmetry_space_group_name_H-M 'P 1'
_symmetry_Int_Tables_number 1
_symmetry_space_group_name_Hall 'P 1'
_cell_length_a 4.979
_cell_length_b 4.979
_cell_length_c 4.979
_cell_angle_alpha 60.00
_cell_angle_beta 60.00
_cell_angle_gamma 60.00
loop_
_atom_site_label
_atom_site_type_symbol
_atom_site_fract_x
_atom_site_fract_y
_atom_site_fract_z
Nb1 Nb 0.000 0.000 0.000
V1 V 0.626 0.121 0.626
V2 V 0.121 0.626 0.626
V3 V 0.626 0.626 0.121
Pt1 Pt 0.250 0.250 0.250
V4 V 0.626 0.626 0.626
```

***

Copy entry 9 word for word.
NbV2Pt8 after structural relaxation. Source: the Alexandria database, functional GGA-PBE.

Results
Formation energy: -0.54 eV per atom
Calculated total energy: -7.508 eV per atom

CIF file:
```
data_NbV2Pt8
_symmetry_space_group_name_H-M 'P 1'
_symmetry_Int_Tables_number 1
_symmetry_space_group_name_Hall 'P 1'
_cell_length_a 3.943
_cell_length_b 6.328
_cell_length_c 7.372
_cell_angle_alpha 106.73
_cell_angle_beta 105.51
_cell_angle_gamma 90.00
loop_
_atom_site_label
_atom_site_type_symbol
_atom_site_fract_x
_atom_site_fract_y
_atom_site_fract_z
Pt1 Pt 0.044 0.729 0.089
V1 V 0.781 0.353 0.562
Pt2 Pt 0.606 0.454 0.212
Nb1 Nb 0.500 0.000 0.000
V2 V 0.219 0.647 0.438
Pt3 Pt 0.318 0.086 0.636
Pt4 Pt 0.858 0.804 0.716
Pt5 Pt 0.142 0.196 0.284
Pt6 Pt 0.956 0.271 0.911
Pt7 Pt 0.394 0.546 0.788
Pt8 Pt 0.682 0.914 0.364
```